Compound: Zr6TiIn2
Source: the Alexandria database
Functional: PBE
Structure: relaxed

a = 3.654 Å, b = 8.030 Å, c = 8.030 Å
α = 120.00°, β = 90.00°, γ = 90.00°
Fractional positions:
Ti1 0.500 0.000 0.000
Zr1 0.500 0.000 0.618
Zr2 0.000 0.745 0.745
Zr3 0.000 0.255 0.000
Zr4 0.500 0.618 0.000
Zr5 0.000 0.000 0.255
Zr6 0.500 0.382 0.382
In1 0.000 0.667 0.333
In2 0.000 0.333 0.667

Calculated values
* Fermi-level density of states: 10.84 states/eV/f.u.
* symmetry: P-62m
* ΔH_f (0 K): -0.094 eV/atom